1.
The following is a DFT calculation (PBE) of a relaxed structure of ReSnPt3.

Calculated values
Formation energy from the elements in eV per atom: 0.879
Symmetry: No. 221
DOS(E_F) in states/eV/cell: 3.276
Polymorph energy (0 for the lowest one) in meV/atom: 0

abc: 4.8741 4.8741 4.8741
angles: 90.00 90.00 90.00
Atoms (fractional coordinates):
Re 0.0000 0.0000 0.0000
Sn 0.5000 0.5000 0.5000
Pt 0.0000 0.0000 0.5000
Pt 0.0000 0.5000 0.0000
Pt 0.5000 0.0000 0.0000



2.
The following is a DFT calculation (PBE) of a relaxed structure of NdTl3Te3.

Calculated values
Symmetry: No. 12
Formation energy without anion corrections in kcal/mol of atoms: -15.57

abc: 9.5726 9.5726 9.6484
angles: 120.25 120.25 54.68
Atoms (fractional coordinates):
Nd 0.2101 0.2101 0.4602
Nd 0.7899 0.7899 0.5398
Tl 0.2490 0.2490 0.9986
Tl 0.2577 0.7423 0.0000
Tl 0.2587 0.7413 0.5000
Tl 0.7413 0.2587 0.5000
Tl 0.7423 0.2577 0.0000
Tl 0.7510 0.7510 0.0014
Te 0.0001 0.4998 0.2761
Te 0.9999 0.5002 0.7239
Te 0.0079 0.0079 0.7575
Te 0.4998 0.0001 0.2761
Te 0.5002 0.9999 0.7239
Te 0.9921 0.9921 0.2425



Short version: total magnetic moment = 0.00, 0.00 Bohr magnetons per cell, in the order given.
Short version: E_tot = -6.0359, -3.7167 eV/atom, in the order given.